P | Below is an optimized crystal structure of Ba3Ga2Au3, with properties calculated at the GGA-PBE level.

Unit cell a=4.7323 b=6.5888 c=16.3729 alpha=90.00 beta=90.00 gamma=111.05
Last column: nearest neighbours and their distance in Å.
Sites, in units of the cell vectors:
Au: 0.6399 0.2798 0.4573  3 Ga 2.65-2.81
Ga: 0.7856 0.5712 0.5895  3 Au 2.65-2.81
Ba: 0.3638 0.7277 0.7500  4 Au 3.36-3.39, 4 Ga 3.66
Au: 0.3601 0.7202 0.9573  3 Ga 2.65-2.81
Ba: 0.9229 0.8457 0.1036  7 Au 3.45-3.70, 4 Ga 3.50-3.59
Au: 0.6700 0.3401 0.7500  2 Ga 2.99
Au: 0.6399 0.2798 0.0427  3 Ga 2.65-2.81
Au: 0.3300 0.6599 0.2500  2 Ga 2.99
Au: 0.3601 0.7202 0.5427  3 Ga 2.65-2.81
Ba: 0.9229 0.8457 0.3964  7 Au 3.45-3.70, 4 Ga 3.50-3.59
Ba: 0.0771 0.1543 0.8964  7 Au 3.45-3.70, 4 Ga 3.50-3.59
Ga: 0.2144 0.4288 0.4105  3 Au 2.65-2.81
Ga: 0.7856 0.5712 0.9105  3 Au 2.65-2.81
Ga: 0.2144 0.4288 0.0895  3 Au 2.65-2.81
Ba: 0.0771 0.1543 0.6036  7 Au 3.45-3.70, 4 Ga 3.50-3.59
Ba: 0.6362 0.2723 0.2500  4 Au 3.36-3.39, 4 Ga 3.66

Summary:
As for the symmetry: No. 63.

=====

Q | Below is an optimized crystal structure of Ba3Ga2Au3, with properties calculated at the GGA-PBE level.

Unit cell a=4.2534 b=6.0430 c=9.8412 alpha=80.81 beta=77.55 gamma=90.00
Last column: nearest neighbours and their distance in Å.
Sites, in units of the cell vectors:
Ga: 0.7705 0.8569 0.4603  3 Au 2.60-2.80
Au: 0.6512 0.0723 0.6967  3 Ga 2.60-2.80
Ba: 0.8578 0.4333 0.2829  4 Ga 3.30-3.62, 2 Au 3.42-3.43
Ga: 0.2295 0.1431 0.5397  3 Au 2.60-2.80
Ba: 0.0000 0.0000 0.0000  8 Au 3.58-3.70
Au: 0.3488 0.9277 0.3033  3 Ga 2.60-2.80
Ba: 0.1422 0.5667 0.7171  4 Ga 3.30-3.62, 2 Au 3.42-3.43
Au: 0.5000 0.5000 0.0000  8 Ba 3.42-3.70

Summary:
As for the symmetry: No. 2.

=====

Which of them is most stable, and which least? Most stable: P; least stable: Q.

=====

P | Below is an optimized crystal structure of Ba3GaAu3, with properties calculated at the GGA-PBE level.

Unit cell a=4.6043 b=6.6154 c=15.9649 alpha=83.79 beta=81.71 gamma=69.63
Last column: nearest neighbours and their distance in Å.
Sites, in units of the cell vectors:
Au: 0.1107 0.8561 0.9226  2 Au 3.12-3.13, 4 Ba 3.44-3.45
Ba: 0.3968 0.2847 0.9218  7 Au 3.44-3.54
Ga: 0.2410 0.9269 0.5910  3 Au 2.60-2.76
Ga: 0.7590 0.0731 0.4090  3 Au 2.60-2.76
Ba: 0.5201 0.3479 0.6119  7 Au 3.43-3.77, 4 Ga 3.51-3.72
Au: 0.1603 0.2252 0.4541  3 Ga 2.60-2.76
Au: 0.8397 0.7748 0.5459  3 Ga 2.60-2.76
Ba: 0.4799 0.6521 0.3881  7 Au 3.43-3.77, 4 Ga 3.51-3.72
Au: 0.0245 0.1868 0.7642  1 Au 3.13, 1 Ga 3.26, 6 Ba 3.43-3.47
Au: 0.9755 0.8132 0.2358  1 Au 3.13, 1 Ga 3.26, 6 Ba 3.43-3.47
Ba: 0.6032 0.7153 0.0782  7 Au 3.44-3.54
Ba: 0.7332 0.7682 0.7654  6 Au 3.45-3.61, 2 Ga 3.68
Ba: 0.2668 0.2318 0.2346  6 Au 3.45-3.61, 2 Ga 3.68
Au: 0.8893 0.1439 0.0774  2 Au 3.12-3.13, 4 Ba 3.44-3.45

Summary:
As for the symmetry: No. 12.

=====

Q | Below is an optimized crystal structure of Ba3GaAu3, with properties calculated at the GGA-PBE level.

Unit cell a=6.6686 b=9.6808 c=9.6808 alpha=120.00 beta=90.00 gamma=90.00
Last column: nearest neighbours and their distance in Å.
Sites, in units of the cell vectors:
Au: 0.7500 0.3132 0.3885  1 Ga 2.60
Au: 0.2500 0.9247 0.3132  1 Ga 2.60
Ba: 0.7500 0.7059 0.6391  5 Au 3.32-3.37
Ba: 0.2500 0.0668 0.7059  5 Au 3.32-3.37
Ba: 0.2500 0.6391 0.9332  5 Au 3.32-3.37
Au: 0.7500 0.0753 0.6868  1 Ga 2.60
Ba: 0.2500 0.2941 0.3609  5 Au 3.32-3.37
Ba: 0.7500 0.3609 0.0668  5 Au 3.32-3.37
Au: 0.2500 0.3885 0.0753  1 Ga 2.60
Ga: 0.7500 0.3333 0.6667  3 Au 2.60
Ba: 0.7500 0.9332 0.2941  5 Au 3.32-3.37
Ga: 0.2500 0.6667 0.3333  3 Au 2.60
Au: 0.2500 0.6868 0.6115  1 Ga 2.60
Au: 0.7500 0.6115 0.9247  1 Ga 2.60

Summary:
As for the symmetry: No. 176.

=====

Which of them is most stable, and which least? Most stable: P; least stable: Q.

=====

P | Below is an optimized crystal structure of Ba2GaHAu, with properties calculated at the GGA-PBE level.

Unit cell a=5.7963 b=5.7963 c=4.0251 alpha=90.00 beta=90.00 gamma=90.00
Last column: nearest neighbours and their distance in Å.
Sites, in units of the cell vectors:
Au: 0.0000 0.0000 0.5000  2 H 2.01
H: 0.0000 0.0000 0.0000  2 Au 2.01
Ba: 0.5000 0.0000 0.0000  2 H 2.90
Ba: 0.0000 0.5000 0.0000  2 H 2.90
Ga: 0.5000 0.5000 0.5000  8 Ba 3.53

Summary:
As for the symmetry: No. 123.

=====

Q | Below is an optimized crystal structure of Ba2GaHAu, with properties calculated at the GGA-PBE level.

Unit cell a=5.6659 b=5.6659 c=4.1987 alpha=90.00 beta=90.00 gamma=90.00
Last column: nearest neighbours and their distance in Å.
Sites, in units of the cell vectors:
Ga: 0.0000 0.0000 0.5000  2 H 2.10
H: 0.0000 0.0000 0.0000  2 Ga 2.10
Ba: 0.0000 0.5000 0.0000  2 H 2.83
Au: 0.5000 0.5000 0.5000  8 Ba 3.53
Ba: 0.5000 0.0000 0.0000  2 H 2.83

Summary:
As for the symmetry: No. 123.

=====

Which of them is most stable, and which least? Most stable: P; least stable: Q.